Density functional theory data (PBE) for a relaxed structure of LaYTe2.

Results
Energy: -5.88 eV per atom
Energy above the most stable polymorph in this dataset: 0 meV per atom
Total magnetization: 0.00 μB/f.u.
Theoretical density: 6342 kg/m3

The structure in CIF format:
```
data_LaYTe2
_chemical_formula_sum 'La2 Y2 Te4'
_symmetry_space_group_name_H-M 'C 1 2/m 1'
_symmetry_Int_Tables_number 12
_symmetry_space_group_name_Hall '-C 2y'
_cell_length_a 7.7096
_cell_length_b 4.4659
_cell_length_c 7.7900
_cell_angle_alpha 90.00
_cell_angle_beta 109.42
_cell_angle_gamma 90.00
loop_
_atom_site_label
_atom_site_fract_x
_atom_site_fract_y
_atom_site_fract_z
_atom_site_occupancy
La1 0.0000 0.0000 0.0000 1
Y1 0.0000 0.5000 0.5000 1
Te1 0.2446 0.0000 0.7338 1
```